Density functional theory data (PBE) for a relaxed PaAu2O6 crystal.

a = 3.818 Å, b = 4.452 Å, c = 8.121 Å
α = 87.35°, β = 89.88°, γ = 86.78°
Space group P-1 (No. 2)
Unique sites:
Pa 0.000 0.000 0.000
Au 0.380 0.464 0.678
O 0.041 0.670 0.831
O 0.294 0.744 0.480
O 0.489 0.175 0.873

Properties
DFT total energy = -57.2 eV/cell
V = 137.7 Å³ per cell
crystal system = triclinic



Density functional theory data (PBE) for a relaxed Pa3AuO crystal.

a = 4.717 Å, b = 4.717 Å, c = 4.717 Å
α = 90.00°, β = 90.00°, γ = 90.00°
Space group Pm-3m (No. 221)
Unique sites:
Pa 0.000 0.000 0.500
Au 0.500 0.500 0.500
O 0.000 0.000 0.000

Properties
DFT total energy = -41.3 eV/cell
V = 105.0 Å³ per cell
crystal system = cubic



Density functional theory data (PBE) for a relaxed PaAuO6 crystal.

a = 6.494 Å, b = 6.495 Å, c = 7.005 Å
α = 91.23°, β = 91.12°, γ = 91.64°
Space group P-1 (No. 2)
Unique sites:
Pa 0.072 0.429 0.250
Au 0.000 0.000 0.000
Au 0.500 0.500 0.500
O 0.006 0.695 0.058
O 0.049 0.112 0.269
O 0.195 0.506 0.559
O 0.388 0.456 0.230
O 0.422 0.952 0.794
O 0.467 0.923 0.289

Properties
DFT total energy = -108.1 eV/cell
V = 295.2 Å³ per cell
crystal system = triclinic